(1)
DFT (PBE) results for a geometry-optimized ZrTiCo3 structure.

POSCAR file:
```
ZrTiCo3
1.0
-3.468 -0.358 2.447
0.302 -4.245 -0.192
2.455 0.017 3.481
Co Zr Ti
3 1 1
Cartesian
0.151 -2.122 -0.096
1.227 0.008 1.741
-1.734 -0.179 1.224
-0.356 -2.293 2.868
0.000 0.000 0.000
```

Computed properties:
The space group is Pm-3m. The total DFT energy (no corrections) is -35.5 eV/cell. For the volume, the calculation gives 77.29 Å³ per cell.

(2)
DFT (PBE) results for a geometry-optimized Zr3TiCo3 structure.

POSCAR file:
```
Zr3TiCo3
1.0
-2.567 -3.204 -0.206
-1.718 -1.568 4.799
-10.280 5.600 -0.051
Zr Ti Co
6 2 6
Cartesian
-8.439 1.382 1.619
-6.126 -0.554 2.924
-3.284 -0.076 1.090
-11.280 0.904 3.453
-11.029 3.474 1.346
-3.535 -2.647 3.197
-6.242 -0.272 -0.022
-8.322 1.100 4.564
-9.206 -0.739 3.157
-5.358 1.566 1.385
-11.276 3.504 3.965
-3.289 -2.676 0.577
-6.215 -3.161 3.565
-8.350 3.988 0.978
```

Computed properties:
The space group is C2/m. The total DFT energy (no corrections) is -113.9 eV/cell. For the volume, the calculation gives 232.44 Å³ per cell.

(3)
DFT (PBE) results for a geometry-optimized ZrTi3Co2 structure.

POSCAR file:
```
ZrTi3Co2
1.0
-0.786 -4.211 -0.556
5.829 1.752 -4.731
1.021 -1.097 6.869
Zr Ti Co
2 6 4
Cartesian
4.607 -3.397 2.437
1.457 -0.159 -0.855
3.905 -0.864 1.026
4.972 -3.065 -0.593
1.539 -2.968 3.525
4.525 -0.588 -1.943
1.092 -0.491 2.176
2.159 -2.692 0.556
6.097 -1.236 0.744
-0.033 -2.320 0.838
2.845 -2.506 -1.823
3.219 -1.050 3.406
```

Computed properties:
The space group is C2/m. The total DFT energy (no corrections) is -95.4 eV/cell. For the volume, the calculation gives 188.13 Å³ per cell.

(4)
DFT (PBE) results for a geometry-optimized Zr3TiCo structure.

POSCAR file:
```
Zr3TiCo
1.0
4.848 0.000 0.000
0.000 4.848 0.000
0.000 0.000 4.848
Co Zr Ti
1 3 1
Cartesian
2.424 2.424 2.424
0.000 2.424 0.000
0.000 0.000 2.424
2.424 0.000 0.000
0.000 0.000 0.000
```

Computed properties:
The space group is Pm-3m. The total DFT energy (no corrections) is -34.9 eV/cell. For the volume, the calculation gives 113.93 Å³ per cell.

(5)
DFT (PBE) results for a geometry-optimized ZrTi4Co2 structure.

POSCAR file:
```
ZrTi4Co2
1.0
-3.909 -0.512 0.912
0.431 -4.060 -0.434
1.401 1.494 6.841
Zr Ti Co
1 4 2
Cartesian
0.000 0.000 0.000
-0.706 -2.629 4.475
0.785 -2.219 2.116
-1.372 -0.450 2.845
1.047 -0.347 4.291
-1.475 -2.374 1.324
-0.603 -0.705 5.996
```

Computed properties:
The space group is Cmmm. The total DFT energy (no corrections) is -55.4 eV/cell. For the volume, the calculation gives 113.65 Å³ per cell.

(6)
DFT (PBE) results for a geometry-optimized Zr3TiCo structure.

POSCAR file:
```
Zr3TiCo
1.0
4.816 0.000 0.000
0.000 4.816 0.000
0.000 0.000 4.816
Co Zr Ti
1 3 1
Cartesian
0.000 0.000 0.000
0.000 2.408 0.000
0.000 0.000 2.408
2.408 0.000 0.000
2.408 2.408 2.408
```

Computed properties:
The space group is Pm-3m. The total DFT energy (no corrections) is -39.0 eV/cell. For the volume, the calculation gives 111.68 Å³ per cell.

(7)
DFT (PBE) results for a geometry-optimized Zr3TiCo structure.

POSCAR file:
```
Zr3TiCo
1.0
-0.259 -5.940 -2.740
6.376 1.399 0.497
-1.876 1.396 6.115
Zr Ti Co
6 2 2
Cartesian
0.179 1.130 4.318
4.728 1.395 2.131
3.226 -1.164 3.214
1.384 0.535 1.546
1.400 -2.299 0.530
3.613 1.891 4.883
4.333 -1.652 0.464
0.186 -1.699 3.306
-0.004 -3.228 -1.346
1.552 2.082 6.205
```

Computed properties:
The space group is Ima2. The total DFT energy (no corrections) is -81.0 eV/cell. For the volume, the calculation gives 203.48 Å³ per cell.

(8)
DFT (PBE) results for a geometry-optimized ZrTi3Co2 structure.

POSCAR file:
```
ZrTi3Co2
1.0
5.259 -0.023 0.021
0.028 5.984 -0.611
-0.024 -0.044 6.015
Zr Ti Co
2 6 4
Cartesian
1.316 2.332 2.132
3.946 3.585 3.293
3.954 2.569 0.354
3.936 0.564 2.558
1.309 3.348 5.071
3.947 5.665 5.185
1.315 0.252 0.240
1.326 5.354 2.867
2.645 4.545 0.969
0.016 4.556 0.959
-0.012 1.384 4.446
2.617 1.373 4.456
```

Computed properties:
The space group is Cmcm. The total DFT energy (no corrections) is -96.0 eV/cell. For the volume, the calculation gives 189.14 Å³ per cell.